[1]
This record from Alexandria describes a geometry-optimized FeHgTe2 structure. The functional is GGA-PBE.

Geometry as extended XYZ:
```
4
Lattice="1.666 0.962 10.270 -1.666 0.962 10.270 0.000 -1.924 10.270" Properties=species:S:1:pos:R:3 pbc="T T T"
Fe 0.000 0.000 0.000
Hg 0.000 0.000 8.268
Te 0.000 0.000 15.591
Te 0.000 0.000 22.088
```

Calculated values
Uncorrected formation energy: 243.9 meV/atom
Space-group type: R3m, No. 160

---

[2]
This record from Alexandria describes a geometry-optimized FeHg2Te structure. The functional is GGA-PBE.

Geometry as extended XYZ:
```
4
Lattice="0.000 3.602 3.602 3.602 0.000 3.602 3.602 3.602 0.000" Properties=species:S:1:pos:R:3 pbc="T T T"
Fe 0.000 0.000 0.000
Hg 3.602 3.602 3.602
Hg 5.404 5.404 5.404
Te 1.801 1.801 1.801
```

Calculated values
Uncorrected formation energy: 534.9 meV/atom
Space-group type: F-43m, No. 216

---

[3]
This record from Alexandria describes a geometry-optimized Fe2HgTe structure. The functional is GGA-PBE.

Geometry as extended XYZ:
```
8
Lattice="-2.174 2.174 8.832 2.174 -2.174 8.832 2.174 2.174 -8.832" Properties=species:S:1:pos:R:3 pbc="T T T"
Fe 3.261 0.684 -2.208
Fe 0.684 1.087 2.208
Fe -1.087 1.490 6.624
Fe 1.490 1.087 11.040
Hg 2.174 0.000 4.416
Hg 0.000 0.000 8.832
Te 0.000 0.000 0.000
Te 0.000 2.174 4.416
```

Calculated values
Uncorrected formation energy: 643.0 meV/atom
Space-group type: I-42d, No. 122
Energy above the lowest structure with this stoichiometry: 8.686 kcal/mol of atoms

---

[4]
This record from Alexandria describes a geometry-optimized Fe2HgTe structure. The functional is GGA-PBE.

Geometry as extended XYZ:
```
4
Lattice="3.721 0.000 0.000 0.000 3.968 0.000 -1.842 0.000 4.997" Properties=species:S:1:pos:R:3 pbc="T T T"
Fe 0.000 0.000 0.000
Fe 0.005 1.984 1.435
Hg 1.866 0.000 2.172
Te 0.020 1.984 4.302
```

Calculated values
Uncorrected formation energy: 339.0 meV/atom
Space-group type: Pm, No. 6
Energy above the lowest structure with this stoichiometry: 1.675 kcal/mol of atoms

---

[5]
This record from Alexandria describes a geometry-optimized Fe2HgTe structure. The functional is GGA-PBE.

Geometry as extended XYZ:
```
4
Lattice="3.236 0.000 0.000 0.000 3.236 0.000 0.000 0.000 6.534" Properties=species:S:1:pos:R:3 pbc="T T T"
Fe 0.000 0.000 1.520
Fe 0.000 0.000 5.013
Hg 1.618 1.618 3.267
Te 1.618 1.618 0.000
```

Calculated values
Uncorrected formation energy: 511.8 meV/atom
Space-group type: P4/mmm, No. 123
Energy above the lowest structure with this stoichiometry: 5.659 kcal/mol of atoms

---

[6]
This record from Alexandria describes a geometry-optimized FeHg2Te structure. The functional is GGA-PBE.

Geometry as extended XYZ:
```
4
Lattice="3.117 0.000 0.000 0.000 3.117 0.000 0.000 0.000 9.326" Properties=species:S:1:pos:R:3 pbc="T T T"
Fe 0.000 0.000 0.000
Hg 0.000 0.000 4.607
Hg 1.558 1.558 1.928
Te 1.558 1.558 7.965
```

Calculated values
Uncorrected formation energy: 240.3 meV/atom
Space-group type: P4mm, No. 99

---

[7]
This record from Alexandria describes a geometry-optimized FeHgTe3 structure. The functional is GGA-PBE.

Geometry as extended XYZ:
```
5
Lattice="5.104 0.000 0.000 0.000 5.104 0.000 0.000 0.000 5.104" Properties=species:S:1:pos:R:3 pbc="T T T"
Fe 0.000 0.000 0.000
Hg 2.552 2.552 2.552
Te 0.000 0.000 2.552
Te 0.000 2.552 0.000
Te 2.552 0.000 0.000
```

Calculated values
Uncorrected formation energy: 434.0 meV/atom
Space-group type: Pm-3m, No. 221

---

[8]
This record from Alexandria describes a geometry-optimized Fe2HgTe structure. The functional is GGA-PBE.

Geometry as extended XYZ:
```
4
Lattice="0.000 3.348 3.348 3.348 0.000 3.348 3.348 3.348 0.000" Properties=species:S:1:pos:R:3 pbc="T T T"
Fe 0.000 0.000 0.000
Fe 1.674 1.674 1.674
Hg 5.022 5.022 5.022
Te 3.348 3.348 3.348
```

Calculated values
Uncorrected formation energy: 732.2 meV/atom
Space-group type: F-43m, No. 216
Energy above the lowest structure with this stoichiometry: 10.743 kcal/mol of atoms

---

[9]
This record from Alexandria describes a geometry-optimized FeHgTe2 structure. The functional is GGA-PBE.

Geometry as extended XYZ:
```
8
Lattice="-3.179 3.179 6.276 3.179 -3.179 6.276 3.179 3.179 -6.276" Properties=species:S:1:pos:R:3 pbc="T T T"
Fe 0.000 0.000 0.000
Fe 0.000 3.179 3.138
Hg 3.179 0.000 3.138
Hg 0.000 0.000 6.276
Te 4.768 1.330 -1.569
Te 1.330 1.589 1.569
Te -1.589 1.848 4.707
Te 1.848 1.589 7.845
```

Calculated values
Uncorrected formation energy: 64.8 meV/atom
Space-group type: I-42d, No. 122

---

[10]
This record from Alexandria describes a geometry-optimized FeHg2Te structure. The functional is GGA-PBE.

Geometry as extended XYZ:
```
4
Lattice="4.085 0.000 0.000 0.000 4.071 0.000 -1.208 0.000 5.907" Properties=species:S:1:pos:R:3 pbc="T T T"
Fe 0.000 0.000 0.000
Hg -0.604 0.000 2.953
Hg 1.439 2.036 2.953
Te 2.042 2.036 0.000
```

Calculated values
Uncorrected formation energy: 385.6 meV/atom
Space-group type: P2/m, No. 10

---

[11]
This record from Alexandria describes a geometry-optimized Fe2HgTe structure. The functional is GGA-PBE.

Geometry as extended XYZ:
```
4
Lattice="4.071 -1.606 0.000 4.071 1.606 0.000 -1.274 0.000 5.636" Properties=species:S:1:pos:R:3 pbc="T T T"
Fe 1.724 0.000 1.285
Fe 5.144 0.000 4.350
Hg -0.637 0.000 2.818
Te 4.071 0.000 0.000
```

Calculated values
Uncorrected formation energy: 536.3 meV/atom
Space-group type: C2/m, No. 12
Energy above the lowest structure with this stoichiometry: 6.224 kcal/mol of atoms

---

[12]
This record from Alexandria describes a geometry-optimized Fe2HgTe structure. The functional is GGA-PBE.

Geometry as extended XYZ:
```
4
Lattice="0.000 3.285 3.285 3.285 0.000 3.285 3.285 3.285 0.000" Properties=species:S:1:pos:R:3 pbc="T T T"
Fe 1.642 1.642 1.642
Fe 4.927 4.927 4.927
Hg 0.000 0.000 0.000
Te 3.285 3.285 3.285
```

Calculated values
Uncorrected formation energy: 556.2 meV/atom
Space-group type: Fm-3m, No. 225
Energy above the lowest structure with this stoichiometry: 6.684 kcal/mol of atoms

---

[13]
This record from Alexandria describes a geometry-optimized Fe2HgTe structure. The functional is GGA-PBE.

Geometry as extended XYZ:
```
4
Lattice="1.591 0.919 9.026 -1.591 0.919 9.026 0.000 -1.837 9.026" Properties=species:S:1:pos:R:3 pbc="T T T"
Fe 0.000 0.000 0.000
Fe 0.000 0.000 7.429
Hg 0.000 0.000 14.279
Te 0.000 0.000 19.960
```

Calculated values
Uncorrected formation energy: 347.2 meV/atom
Space-group type: R3m, No. 160
Energy above the lowest structure with this stoichiometry: 1.864 kcal/mol of atoms

---

[14]
This record from Alexandria describes a geometry-optimized FeHgTe2 structure. The functional is GGA-PBE.

Geometry as extended XYZ:
```
4
Lattice="4.642 0.000 0.000 0.000 4.642 0.000 0.000 0.000 4.566" Properties=species:S:1:pos:R:3 pbc="T T T"
Fe 0.000 0.000 0.000
Hg 2.321 2.321 0.000
Te 0.000 2.321 2.283
Te 2.321 0.000 2.283
```

Calculated values
Uncorrected formation energy: 642.6 meV/atom
Space-group type: P4/mmm, No. 123

---

[15]
This record from Alexandria describes a geometry-optimized Fe2HgTe2 structure. The functional is GGA-PBE.

Geometry as extended XYZ:
```
5
Lattice="-1.803 1.803 9.848 1.803 -1.803 9.848 1.803 1.803 -9.848" Properties=species:S:1:pos:R:3 pbc="T T T"
Fe 1.803 0.000 4.924
Fe 0.000 1.803 4.924
Hg 0.000 0.000 0.000
Te 0.000 0.000 6.815
Te 0.000 0.000 12.880
```

Calculated values
Uncorrected formation energy: -32.3 meV/atom
Space-group type: I4/mmm, No. 139